Entry 1:
DFT (PBE-GGA) results for a relaxed structure of Pr7Sm2Ho2.

Properties
energy of formation from the pure elements	0.322	eV per atom
E above lowest polymorph	227.7	meV/atom
calculated volume	36.56	Å³/atom

a b c (Å): 9.6911 7.0051 7.0051
angles (deg): 122.25 90.00 90.00
Atoms (fractional coordinates):
Pr  0.6843  0.5000  0.0000
Pr  0.8213  0.5000  0.5000
Pr  0.3157  0.0000  0.5000
Pr  0.6843  0.0000  0.5000
Pr  0.1787  0.5000  0.5000
Pr  0.3157  0.5000  0.0000
Pr  0.0000  0.0000  0.0000
Sm  0.5000  0.2500  0.2500
Sm  0.5000  0.7500  0.7500
Ho  0.0000  0.7322  0.2678
Ho  0.0000  0.2678  0.7322

=====

Entry 2:
DFT (PBE-GGA) results for a relaxed structure of RbLiMgCu2.

Properties
energy of formation from the pure elements	0.504	eV per atom
calculated volume	24.91	Å³/atom

a b c (Å): 4.9511 5.0804 4.9511
angles (deg): 90.00 90.00 90.00
Atoms (fractional coordinates):
Cu  0.5000  0.0000  0.0000
Cu  0.0000  0.0000  0.5000
Rb  0.5000  0.5000  0.5000
Mg  0.0000  0.5000  0.0000
Li  0.0000  0.0000  0.0000

=====

Entry 3:
DFT (PBE-GGA) results for a relaxed structure of LaEr12Co6.

Properties
energy of formation from the pure elements	-0.150	eV per atom
calculated volume	24.11	Å³/atom

a b c (Å): 8.4110 8.4110 8.4110
angles (deg): 109.47 109.47 109.47
Atoms (fractional coordinates):
Co  0.8864  0.3864  0.5000
Co  0.1136  0.6136  0.5000
Co  0.3864  0.5000  0.8864
Co  0.5000  0.8864  0.3864
Co  0.6136  0.5000  0.1136
Co  0.5000  0.1136  0.6136
Er  0.3099  0.5040  0.1941
Er  0.3099  0.1159  0.8059
Er  0.5040  0.1941  0.3099
Er  0.6901  0.8841  0.1941
Er  0.6901  0.4960  0.8059
Er  0.4960  0.8059  0.6901
Er  0.1941  0.6901  0.8841
Er  0.8059  0.3099  0.1159
Er  0.1159  0.8059  0.3099
Er  0.8841  0.1941  0.6901
Er  0.1941  0.3099  0.5040
Er  0.8059  0.6901  0.4960
La  0.0000  0.0000  0.0000

=====

Entry 4:
DFT (PBE-GGA) results for a relaxed structure of Ba2Na2CaN2.

Properties
calculated volume	33.26	Å³/atom
formation energy from raw total energies	-0.215	eV/atom

a b c (Å): 4.7021 4.7021 11.0441
angles (deg): 102.29 102.29 90.00
Atoms (fractional coordinates):
N  0.0000  0.5000  0.0000
N  0.5000  0.0000  0.0000
Ba  0.5765  0.5765  0.1530
Ba  0.4235  0.4235  0.8470
Na  0.7814  0.7814  0.5628
Na  0.2186  0.2186  0.4372
Ca  0.0000  0.0000  0.0000

=====

Repeat the fourth record exactly.
DFT (PBE-GGA) results for a relaxed structure of Ba2Na2CaN2.

Properties
calculated volume	33.26	Å³/atom
formation energy from raw total energies	-0.215	eV/atom

a b c (Å): 4.7021 4.7021 11.0441
angles (deg): 102.29 102.29 90.00
Atoms (fractional coordinates):
N  0.0000  0.5000  0.0000
N  0.5000  0.0000  0.0000
Ba  0.5765  0.5765  0.1530
Ba  0.4235  0.4235  0.8470
Na  0.7814  0.7814  0.5628
Na  0.2186  0.2186  0.4372
Ca  0.0000  0.0000  0.0000

=====

What did the second record say?
DFT (PBE-GGA) results for a relaxed structure of RbLiMgCu2.

Properties
energy of formation from the pure elements	0.504	eV per atom
calculated volume	24.91	Å³/atom

a b c (Å): 4.9511 5.0804 4.9511
angles (deg): 90.00 90.00 90.00
Atoms (fractional coordinates):
Cu  0.5000  0.0000  0.0000
Cu  0.0000  0.0000  0.5000
Rb  0.5000  0.5000  0.5000
Mg  0.0000  0.5000  0.0000
Li  0.0000  0.0000  0.0000